Entry 1:
A geometry-optimized MoC structure. Source: Alexandria, functional PBE.

Computed properties:
- V (A^3/atom) = 10.48
- energy of formation (eV per atom) = 0.157
- Fermi-level density of states (states/eV/atom) = 0.558
- E_tot (eV/atom) = -9.87
- ΔE to the lowest computed polymorph (meV per atom) = 250.3

Cell and atoms, written as POSCAR:
```
MoC
1.0
3.053 0.000 0.000
-1.526 2.644 0.000
0.000 0.000 15.584
Mo C
6 6
Direct
0.000 0.000 0.250
0.000 0.000 0.750
0.333 0.667 0.079
0.333 0.667 0.421
0.667 0.333 0.579
0.667 0.333 0.921
0.000 0.000 0.000
0.000 0.000 0.500
0.333 0.667 0.667
0.333 0.667 0.833
0.667 0.333 0.167
0.667 0.333 0.333
```

Entry 2:
A geometry-optimized Cu7Pt3Au2 structure. Source: Alexandria, functional PBE.

Computed properties:
- V (A^3/atom) = 15.07
- energy of formation (eV per atom) = 0.026
- Fermi-level density of states (states/eV/atom) = 0.361
- E_tot (eV/atom) = -4.42

Cell and atoms, written as POSCAR:
```
Cu7Pt3Au2
1.0
2.026 -11.680 0.000
2.026 11.680 0.000
0.000 0.000 3.821
Cu Pt Au
7 3 2
Direct
0.000 0.000 0.000
0.073 0.927 0.500
0.275 0.725 0.000
0.426 0.574 0.000
0.574 0.426 0.000
0.725 0.275 0.000
0.927 0.073 0.500
0.350 0.650 0.500
0.500 0.500 0.500
0.650 0.350 0.500
0.156 0.844 0.000
0.844 0.156 0.000
```